! MgFeF, relaxed, DFT PBE+U; values from VASP
&SYSTEM
  ibrav = 0, nat = 6, ntyp = 3
/
ATOMIC_SPECIES
F 19.00 F.upf
Fe 55.84 Fe.upf
Mg 24.30 Mg.upf
CELL_PARAMETERS angstrom
-2.218 1.168 -2.154
0.953 -2.266 -2.209
-5.231 -4.874 2.742
ATOMIC_POSITIONS angstrom
F -2.567 -3.969 0.491
F -3.296 -1.454 0.069
Fe -4.447 -5.721 1.477
Mg -4.687 -2.750 0.798
Fe -1.416 0.298 -0.916
Mg -1.176 -2.673 -0.238
! **Distance to the lowest polymorph of the same formula**: 111 meV/atom